## Ba5GaRu2O11 (GGA-PBEsol)

Data for Ba5GaRu2O11 after structural relaxation.

Values from the calculation:
* crystal system: orthorhombic
* symmetry: Pnma
* calculated total energy: -6.98 eV per atom

Unit cell a=5.801 b=11.089 c=18.701 alpha=90.00 beta=90.00 gamma=90.00
Site moments in Bohr magnetons follow the coordinates.
Atoms (fractional coordinates):
O: 0.491 0.253 0.368  0.03
Ru: 0.250 0.212 0.064  1.11
Ba: 0.750 0.471 0.930  0.01
O: 0.750 0.412 0.269  0.01
O: 0.515 0.674 0.984  0.07
Ba: 0.250 0.133 0.249  0.01
O: 0.250 0.046 0.406  0.12
Ru: 0.750 0.794 0.560  0.75
O: 0.485 0.174 0.516  0.07
Ba: 0.250 0.689 0.863  0.01
Ru: 0.250 0.206 0.440  0.75
O: 0.509 0.747 0.632  0.03
Ba: 0.250 0.811 0.363  0.01
Ba: 0.750 0.545 0.670  0.00
Ba: 0.250 0.894 0.026  0.01
O: 0.985 0.826 0.484  0.07
O: 0.750 0.546 0.094  0.12
Ba: 0.750 0.867 0.751  0.01
O: 0.750 0.882 0.029  0.07
O: 0.485 0.109 0.100  0.13
O: 0.250 0.912 0.231  0.01
Ba: 0.750 0.394 0.474  0.01
Ga: 0.750 0.236 0.811  0.00
Ga: 0.250 0.736 0.689  0.00
Ba: 0.250 0.367 0.749  0.01
O: 0.985 0.609 0.400  0.13
Ga: 0.250 0.764 0.189  0.00
Ru: 0.250 0.288 0.564  1.11
O: 0.015 0.109 0.100  0.13
Ba: 0.750 0.955 0.170  0.00
Ru: 0.750 0.706 0.060  0.75
O: 0.515 0.609 0.400  0.13
Ga: 0.750 0.264 0.311  0.00
O: 0.250 0.638 0.250  0.01
Ba: 0.750 0.311 0.137  0.01
Ru: 0.250 0.294 0.940  0.75
O: 0.015 0.326 0.016  0.07
O: 0.750 0.618 0.529  0.07
O: 0.509 0.753 0.132  0.03
Ba: 0.750 0.633 0.251  0.01
O: 0.985 0.674 0.984  0.07
Ba: 0.250 0.045 0.830  0.00
O: 0.485 0.326 0.016  0.07
O: 0.491 0.247 0.868  0.03
Ba: 0.750 0.106 0.974  0.01
Ba: 0.750 0.029 0.430  0.01
O: 0.250 0.189 0.649  0.11
O: 0.750 0.954 0.594  0.12
O: 0.009 0.247 0.868  0.03
Ba: 0.250 0.455 0.330  0.00
O: 0.250 0.862 0.750  0.01
O: 0.485 0.391 0.600  0.13
Ba: 0.750 0.189 0.637  0.01
O: 0.250 0.311 0.149  0.11
O: 0.991 0.753 0.132  0.03
O: 0.250 0.454 0.906  0.12
O: 0.750 0.362 0.750  0.01
O: 0.750 0.138 0.250  0.01
O: 0.750 0.689 0.851  0.11
O: 0.250 0.118 0.971  0.07
O: 0.250 0.588 0.731  0.01
O: 0.750 0.088 0.769  0.01
Ba: 0.250 0.606 0.526  0.01
O: 0.015 0.174 0.516  0.07
O: 0.515 0.891 0.900  0.13
O: 0.985 0.891 0.900  0.13
O: 0.750 0.811 0.351  0.11
Ru: 0.750 0.788 0.936  1.11
Ru: 0.750 0.712 0.436  1.11
Ba: 0.250 0.971 0.570  0.01
Ba: 0.250 0.529 0.070  0.01
O: 0.015 0.391 0.600  0.13
O: 0.515 0.826 0.484  0.07
O: 0.250 0.382 0.471  0.07
O: 0.009 0.253 0.368  0.03
O: 0.991 0.747 0.632  0.03



## YMg2CoSe (GGA-PBEsol)

Data for YMg2CoSe after structural relaxation.

Values from the calculation:
* crystal system: tetragonal
* symmetry: P4/mmm
* calculated total energy: -4.53 eV per atom

Unit cell a=4.738 b=4.738 c=4.880 alpha=90.00 beta=90.00 gamma=90.00
Atoms (fractional coordinates):
Mg: 0.000 0.500 0.000
Co: 0.000 0.000 0.000
Y: 0.000 0.000 0.500
Se: 0.500 0.500 0.500
Mg: 0.500 0.000 0.000



## Co3Br (GGA-PBEsol)

Data for Co3Br after structural relaxation.

Values from the calculation:
* crystal system: tetragonal
* polymorph energy (0 for the lowest one): 0.11 eV/f.u.
* symmetry: P4/mmm

Unit cell a=2.937 b=4.121 c=4.121 alpha=90.00 beta=90.00 gamma=90.00
Site moments in Bohr magnetons follow the coordinates.
Atoms (fractional coordinates):
Br: 0.000 0.000 0.000  0.10
Co: 0.500 0.500 0.000  1.57
Co: 0.500 0.000 0.500  1.57
Co: 0.000 0.500 0.500  1.75